YMgAg2Sn: optimized geometry, PBE.

Structure (POSCAR):
```
YMgAg2Sn
1.0
5.1439 0.0000 0.0000
0.0000 5.1439 0.0000
0.0000 0.0000 5.2916
Y Mg Ag Sn
1 1 2 1
Direct
0.0000 0.0000 0.0000
0.5000 0.5000 0.0000
0.0000 0.5000 0.5000
0.5000 0.0000 0.5000
0.5000 0.5000 0.5000
```

Values from the calculation:
**DOS(E_F)**: 4.0 states/eV per cell
**Space group**: P4/mmm
**Total magnetic moment**: 0.00 Bohr magnetons per cell
**Energy of formation**: 174 kJ/mol of formula units


CuSbMo2: optimized geometry, PBE.

Structure (POSCAR):
```
CuSbMo2
1.0
4.6963 -1.7635 0.0000
4.6963 1.7635 0.0000
-2.0612 0.0000 3.9121
Cu Sb Mo
1 1 2
Direct
0.0000 0.0000 0.0000
0.7377 0.7377 0.2380
0.2475 0.2475 0.7480
0.5003 0.5003 0.5016
```

Values from the calculation:
**DOS(E_F)**: 2.9 states/eV per cell
**Space group**: Cm
**Energy relative to the elements, uncorrected**: 0.2893 eV/atom
**Total magnetic moment**: 0.00 Bohr magnetons per cell


RbLi3Be: optimized geometry, PBE.

Structure (POSCAR):
```
RbLi3Be
1.0
5.1717 0.0000 0.0000
0.0000 5.1717 0.0000
0.0000 0.0000 5.1717
Rb Li Be
1 3 1
Direct
0.0000 0.0000 0.0000
0.0000 0.5000 0.5000
0.5000 0.0000 0.5000
0.5000 0.5000 0.0000
0.5000 0.5000 0.5000
```

Values from the calculation:
**DOS(E_F)**: 3.9 states/eV per cell
**Space group**: Pm-3m
**Total magnetic moment**: 0.00 Bohr magnetons per cell
**Distance to the lowest polymorph of the same formula**: 0.0 meV per atom
**Energy of formation**: 197 kJ/mol of formula units


Hg4BrN2: optimized geometry, PBE.

Structure (POSCAR):
```
Hg4BrN2
1.0
-3.2388 3.2388 8.7464
3.2388 -3.2388 8.7464
3.2388 3.2388 -8.7464
Hg Br N
4 1 2
Direct
0.0000 0.5000 0.5000
0.2370 0.2370 0.0000
0.5000 0.0000 0.5000
0.7630 0.7630 0.0000
0.0000 0.0000 0.0000
0.4682 0.4682 0.0000
0.5318 0.5318 0.0000
```

Values from the calculation:
**DOS(E_F)**: 4.5 states/eV per cell
**Space group**: I4/mmm
**Energy relative to the elements, uncorrected**: 0.1465 eV/atom
**Total magnetic moment**: 0.00 Bohr magnetons per cell